[1]
! CaOs2Cl, relaxed, DFT GGA-PBEsol; values from VASP
&SYSTEM
  ibrav = 0, nat = 4, ntyp = 3
/
ATOMIC_SPECIES
Ca 40.08 Ca.upf
Os 190.23 Os.upf
Cl 35.45 Cl.upf
CELL_PARAMETERS angstrom
3.005 0.000 0.000
0.000 5.782 0.000
-0.113 0.000 4.242
ATOMIC_POSITIONS crystal
Ca 0.000 0.000 0.000
Os 0.306 0.500 0.243
Os 0.694 0.500 0.757
Cl 0.500 0.000 0.500
! - Calculated volume: 18.428 Å³ per atom
! - E_form (uncorrected): 0.2789 eV per atom
! - ΔE to the lowest computed polymorph: 0.0 meV per atom
! - Calculated total energy: -6.8643 eV/atom

=====

[2]
! CaOs2Cl, relaxed, DFT GGA-PBEsol; values from VASP
&SYSTEM
  ibrav = 0, nat = 8, ntyp = 3
/
ATOMIC_SPECIES
Ca 40.08 Ca.upf
Os 190.23 Os.upf
Cl 35.45 Cl.upf
CELL_PARAMETERS angstrom
2.894 0.000 0.000
0.000 4.912 0.000
0.000 0.000 9.136
ATOMIC_POSITIONS crystal
Ca 0.000 0.000 0.000
Ca 0.500 0.500 0.000
Os 0.000 0.500 0.269
Os 0.000 0.500 0.731
Os 0.500 0.000 0.269
Os 0.500 0.000 0.731
Cl 0.000 0.000 0.500
Cl 0.500 0.500 0.500
! - Calculated volume: 16.231 Å³ per atom
! - E_form (uncorrected): 1.0450 eV per atom
! - ΔE to the lowest computed polymorph: 766.1 meV per atom
! - Calculated total energy: -6.0983 eV/atom

=====

[3]
! CaOsSCl2, relaxed, DFT GGA-PBEsol; values from VASP
&SYSTEM
  ibrav = 0, nat = 5, ntyp = 4
/
ATOMIC_SPECIES
Ca 40.08 Ca.upf
Os 190.23 Os.upf
S 32.06 S.upf
Cl 35.45 Cl.upf
CELL_PARAMETERS angstrom
4.949 0.000 0.000
0.000 4.949 0.000
0.000 0.000 5.459
ATOMIC_POSITIONS crystal
Ca 0.000 0.000 0.000
Os 0.500 0.500 0.500
S 0.000 0.000 0.500
Cl 0.000 0.500 0.000
Cl 0.500 0.000 0.000
! - Calculated volume: 26.747 Å³ per atom
! - E_form (uncorrected): 0.5430 eV per atom
! - Calculated total energy: -4.0068 eV/atom

=====

[4]
! Ca2TiOsCl, relaxed, DFT GGA-PBEsol; values from VASP
&SYSTEM
  ibrav = 0, nat = 5, ntyp = 4
/
ATOMIC_SPECIES
Ca 40.08 Ca.upf
Ti 47.87 Ti.upf
Os 190.23 Os.upf
Cl 35.45 Cl.upf
CELL_PARAMETERS angstrom
4.937 0.000 0.000
0.000 4.937 0.000
0.000 0.000 4.437
ATOMIC_POSITIONS crystal
Ca 0.000 0.500 0.000
Ca 0.500 0.000 0.000
Ti 0.000 0.000 0.500
Os 0.500 0.500 0.500
Cl 0.000 0.000 0.000
! - Calculated volume: 21.633 Å³ per atom
! - E_form (uncorrected): 0.4082 eV per atom
! - Calculated total energy: -4.9543 eV/atom

=====

[5]
! CaP2SCl, relaxed, DFT GGA-PBEsol; values from VASP
&SYSTEM
  ibrav = 0, nat = 5, ntyp = 4
/
ATOMIC_SPECIES
Ca 40.08 Ca.upf
P 30.97 P.upf
S 32.06 S.upf
Cl 35.45 Cl.upf
CELL_PARAMETERS angstrom
5.354 0.000 0.000
0.000 5.354 0.000
0.000 0.000 4.844
ATOMIC_POSITIONS crystal
Ca 0.000 0.000 0.000
P 0.000 0.500 0.000
P 0.500 0.000 0.000
S 0.500 0.500 0.500
Cl 0.000 0.000 0.500
! - Calculated volume: 27.777 Å³ per atom
! - E_form (uncorrected): 0.8221 eV per atom
! - ΔE to the lowest computed polymorph: 0.0 meV per atom
! - Calculated total energy: -3.1995 eV/atom

=====

[6]
! CaP2SCl, relaxed, DFT GGA-PBEsol; values from VASP
&SYSTEM
  ibrav = 0, nat = 5, ntyp = 4
/
ATOMIC_SPECIES
Ca 40.08 Ca.upf
P 30.97 P.upf
S 32.06 S.upf
Cl 35.45 Cl.upf
CELL_PARAMETERS angstrom
5.277 0.000 0.000
0.000 5.277 0.000
0.000 0.000 4.942
ATOMIC_POSITIONS crystal
Ca 0.000 0.000 0.000
P 0.000 0.500 0.000
P 0.500 0.000 0.000
S 0.000 0.000 0.500
Cl 0.500 0.500 0.500
! - Calculated volume: 27.528 Å³ per atom
! - E_form (uncorrected): 0.9447 eV per atom
! - ΔE to the lowest computed polymorph: 122.6 meV per atom
! - Calculated total energy: -3.0769 eV/atom

=====

[7]
! CaTcP2Cl, relaxed, DFT GGA-PBEsol; values from VASP
&SYSTEM
  ibrav = 0, nat = 5, ntyp = 4
/
ATOMIC_SPECIES
Ca 40.08 Ca.upf
Tc 98.00 Tc.upf
P 30.97 P.upf
Cl 35.45 Cl.upf
CELL_PARAMETERS angstrom
5.149 0.000 0.000
0.000 5.149 0.000
0.000 0.000 4.887
ATOMIC_POSITIONS crystal
Ca 0.000 0.000 0.000
Tc 0.500 0.500 0.500
P 0.000 0.500 0.000
P 0.500 0.000 0.000
Cl 0.000 0.000 0.500
! - Calculated volume: 25.913 Å³ per atom
! - E_form (uncorrected): 1.1826 eV per atom
! - Calculated total energy: -4.2154 eV/atom

=====

[8]
! CaTiP2Cl, relaxed, DFT GGA-PBEsol; values from VASP
&SYSTEM
  ibrav = 0, nat = 5, ntyp = 4
/
ATOMIC_SPECIES
Ca 40.08 Ca.upf
Ti 47.87 Ti.upf
P 30.97 P.upf
Cl 35.45 Cl.upf
CELL_PARAMETERS angstrom
4.671 0.000 0.000
0.000 4.671 0.000
0.000 0.000 4.845
ATOMIC_POSITIONS crystal
Ca 0.000 0.000 0.000
Ti 0.500 0.500 0.500
P 0.000 0.500 0.500
P 0.500 0.000 0.500
Cl 0.500 0.500 0.000
! - Calculated volume: 21.141 Å³ per atom
! - E_form (uncorrected): -0.8581 eV per atom
! - Calculated total energy: -5.6673 eV/atom

=====

[9]
! CaPWCl2, relaxed, DFT GGA-PBEsol; values from VASP
&SYSTEM
  ibrav = 0, nat = 5, ntyp = 4
/
ATOMIC_SPECIES
Ca 40.08 Ca.upf
P 30.97 P.upf
W 183.84 W.upf
Cl 35.45 Cl.upf
CELL_PARAMETERS angstrom
4.824 0.000 0.000
0.000 4.824 0.000
0.000 0.000 5.971
ATOMIC_POSITIONS crystal
Ca 0.000 0.000 0.000
P 0.000 0.000 0.500
W 0.500 0.500 0.500
Cl 0.000 0.500 0.000
Cl 0.500 0.000 0.000
! - Calculated volume: 27.791 Å³ per atom
! - E_form (uncorrected): 0.6954 eV per atom
! - Calculated total energy: -4.4541 eV/atom

=====

[10]
! Ca2PbCl, relaxed, DFT GGA-PBEsol; values from VASP
&SYSTEM
  ibrav = 0, nat = 4, ntyp = 3
/
ATOMIC_SPECIES
Ca 40.08 Ca.upf
Pb 207.20 Pb.upf
Cl 35.45 Cl.upf
CELL_PARAMETERS angstrom
5.530 0.000 0.000
0.000 5.530 0.000
0.000 0.000 3.669
ATOMIC_POSITIONS crystal
Ca 0.000 0.500 0.002
Ca 0.500 0.000 0.998
Pb 0.500 0.500 0.500
Cl 0.000 0.000 0.000
! - Calculated volume: 28.052 Å³ per atom
! - E_form (uncorrected): -1.2173 eV per atom
! - ΔE to the lowest computed polymorph: 0.0 meV per atom
! - Calculated total energy: -3.7855 eV/atom

=====

[11]
! CaPbCl2, relaxed, DFT GGA-PBEsol; values from VASP
&SYSTEM
  ibrav = 0, nat = 16, ntyp = 3
/
ATOMIC_SPECIES
Ca 40.08 Ca.upf
Pb 207.20 Pb.upf
Cl 35.45 Cl.upf
CELL_PARAMETERS angstrom
7.418 0.000 0.000
0.000 7.418 0.000
0.000 0.000 7.418
ATOMIC_POSITIONS crystal
Ca 0.000 0.000 0.000
Ca 0.000 0.500 0.500
Ca 0.500 0.000 0.500
Ca 0.500 0.500 0.000
Pb 0.250 0.250 0.750
Pb 0.250 0.750 0.250
Pb 0.750 0.250 0.250
Pb 0.750 0.750 0.750
Cl 0.000 0.000 0.500
Cl 0.000 0.500 0.000
Cl 0.250 0.250 0.250
Cl 0.250 0.750 0.750
Cl 0.500 0.000 0.000
Cl 0.500 0.500 0.500
Cl 0.750 0.250 0.750
Cl 0.750 0.750 0.250
! - Calculated volume: 25.510 Å³ per atom
! - E_form (uncorrected): -0.6500 eV per atom
! - ΔE to the lowest computed polymorph: 605.9 meV per atom
! - Calculated total energy: -3.1869 eV/atom

=====

[12]
! CaPb2Cl, relaxed, DFT GGA-PBEsol; values from VASP
&SYSTEM
  ibrav = 0, nat = 8, ntyp = 3
/
ATOMIC_SPECIES
Ca 40.08 Ca.upf
Pb 207.20 Pb.upf
Cl 35.45 Cl.upf
CELL_PARAMETERS angstrom
3.472 0.000 0.000
0.000 5.919 0.000
0.000 0.000 10.756
ATOMIC_POSITIONS crystal
Ca 0.000 0.000 0.000
Ca 0.500 0.500 0.500
Pb 0.000 0.000 0.465
Pb 0.000 0.500 0.228
Pb 0.500 0.000 0.728
Pb 0.500 0.500 0.965
Cl 0.000 0.500 0.688
Cl 0.500 0.000 0.188
! - Calculated volume: 27.634 Å³ per atom
! - E_form (uncorrected): -0.6952 eV per atom
! - ΔE to the lowest computed polymorph: 0.0 meV per atom
! - Calculated total energy: -3.7298 eV/atom

=====

> The lowest E_form (uncorrected) belongs to which entry?

Ca2PbCl

=====

> Among the records above, which one has the highest calculated total energy?

number 6

=====

What did the eleventh record say?
! CaPbCl2, relaxed, DFT GGA-PBEsol; values from VASP
&SYSTEM
  ibrav = 0, nat = 16, ntyp = 3
/
ATOMIC_SPECIES
Ca 40.08 Ca.upf
Pb 207.20 Pb.upf
Cl 35.45 Cl.upf
CELL_PARAMETERS angstrom
7.418 0.000 0.000
0.000 7.418 0.000
0.000 0.000 7.418
ATOMIC_POSITIONS crystal
Ca 0.000 0.000 0.000
Ca 0.000 0.500 0.500
Ca 0.500 0.000 0.500
Ca 0.500 0.500 0.000
Pb 0.250 0.250 0.750
Pb 0.250 0.750 0.250
Pb 0.750 0.250 0.250
Pb 0.750 0.750 0.750
Cl 0.000 0.000 0.500
Cl 0.000 0.500 0.000
Cl 0.250 0.250 0.250
Cl 0.250 0.750 0.750
Cl 0.500 0.000 0.000
Cl 0.500 0.500 0.500
Cl 0.750 0.250 0.750
Cl 0.750 0.750 0.250
! - Calculated volume: 25.510 Å³ per atom
! - E_form (uncorrected): -0.6500 eV per atom
! - ΔE to the lowest computed polymorph: 605.9 meV per atom
! - Calculated total energy: -3.1869 eV/atom